1.
# Tb3Tm4Mg, relaxed, DFT GGA-PBE
data_Tb3Tm4Mg
_cell_length_a 25.3176
_cell_length_b 3.3615
_cell_length_c 5.8147
_cell_angle_alpha 90.00
_cell_angle_beta 95.89
_cell_angle_gamma 90.00
_space_group_name_H-M_alt 'C 1 2/m 1'
_space_group_IT_number 12
_space_group_name_Hall '-C 2y'
loop_
_atom_site_label
_atom_site_fract_x
_atom_site_fract_y
_atom_site_fract_z
Tb1 0.0000 0.0000 0.0000
Tb2 0.1502 0.0000 0.2164
Tm1 0.1021 0.0000 0.6950
Tm2 0.2180 0.5000 0.7374
Mg1 0.0000 0.5000 0.5000
# DFT formation energy	0.2217	eV/atom
# crystal system	monoclinic
# offset from the most stable computed form	222.6	meV per atom



2.
# LaAg2Mo, relaxed, DFT GGA-PBE
data_LaAg2Mo
_cell_length_a 4.4822
_cell_length_b 4.4822
_cell_length_c 8.7031
_cell_angle_alpha 90.00
_cell_angle_beta 90.00
_cell_angle_gamma 90.00
_space_group_name_H-M_alt 'I -4 m 2'
_space_group_IT_number 119
_space_group_name_Hall 'I -4 -2'
loop_
_atom_site_label
_atom_site_fract_x
_atom_site_fract_y
_atom_site_fract_z
La1 0.0000 0.0000 0.0000
Ag1 0.0000 0.0000 0.5000
Ag2 0.0000 0.5000 0.2500
Mo1 0.0000 0.5000 0.7500
# DFT formation energy	0.4594	eV/atom
# crystal system	tetragonal
# offset from the most stable computed form	94.2	meV per atom



3.
# Ba2MgPd, relaxed, DFT GGA-PBE
data_Ba2MgPd
_cell_length_a 4.4514
_cell_length_b 4.4514
_cell_length_c 33.9228
_cell_angle_alpha 90.00
_cell_angle_beta 90.00
_cell_angle_gamma 120.00
_space_group_name_H-M_alt 'R -3 m'
_space_group_IT_number 166
_space_group_name_Hall '-R 3 2"'
loop_
_atom_site_label
_atom_site_fract_x
_atom_site_fract_y
_atom_site_fract_z
Ba1 0.0000 0.0000 0.1131
Mg1 0.0000 0.0000 0.0000
Pd1 0.0000 0.0000 0.5000
# DFT formation energy	-0.0332	eV/atom
# crystal system	trigonal